[1]
Below is a relaxed structure of Tb3Ce2PrDy6, with properties calculated at the PBE-GGA level.

Calculated values
The density is 8.2 Mg/m³. Its space-group type is No. 12. The energy of formation from the pure elements is 0.049 eV/atom.

CIF file:
```
data_Tb3Ce2PrDy6
_cell_length_a 6.162
_cell_length_b 6.162
_cell_length_c 11.768
_cell_angle_alpha 95.01
_cell_angle_beta 95.01
_cell_angle_gamma 120.00
_space_group_name_H-M_alt 'P 1'
_space_group_IT_number 1
_space_group_name_Hall 'P 1'
loop_
_atom_site_label
_atom_site_fract_x
_atom_site_fract_y
_atom_site_fract_z
_atom_site_occupancy
Tb1 0.000 0.000 0.000 1
Tb2 0.334 0.666 0.000 1
Tb3 0.666 0.334 0.000 1
Ce1 0.167 0.833 0.500 1
Ce2 0.833 0.167 0.500 1
Pr1 0.500 0.500 0.500 1
Dy1 0.080 0.416 0.250 1
Dy2 0.248 0.248 0.750 1
Dy3 0.416 0.080 0.250 1
Dy4 0.584 0.920 0.750 1
Dy5 0.752 0.752 0.250 1
Dy6 0.920 0.584 0.750 1
```



[2]
Below is a relaxed structure of Sm2YHoEr2, with properties calculated at the PBE-GGA level.

Calculated values
The density is 7.7 Mg/m³. Its space-group type is No. 58. The energy of formation from the pure elements is 0.066 eV/atom.

CIF file:
```
data_Sm2YHoEr2
_cell_length_a 7.043
_cell_length_b 9.694
_cell_length_c 5.613
_cell_angle_alpha 90.00
_cell_angle_beta 90.00
_cell_angle_gamma 90.00
_space_group_name_H-M_alt 'P 1'
_space_group_IT_number 1
_space_group_name_Hall 'P 1'
loop_
_atom_site_label
_atom_site_fract_x
_atom_site_fract_y
_atom_site_fract_z
_atom_site_occupancy
Sm1 0.250 0.167 0.000 1
Sm2 0.250 0.667 0.500 1
Sm3 0.750 0.333 0.500 1
Sm4 0.750 0.833 0.000 1
Y1 0.000 0.000 0.500 1
Y2 0.500 0.500 0.000 1
Ho1 0.000 0.500 0.000 1
Ho2 0.500 0.000 0.500 1
Er1 0.250 0.333 0.500 1
Er2 0.250 0.833 0.000 1
Er3 0.750 0.167 0.000 1
Er4 0.750 0.667 0.500 1
```



[3]
Below is a relaxed structure of TbTm4Al4, with properties calculated at the PBE-GGA level.

Calculated values
The density is 7.1 Mg/m³. Its space-group type is No. 86. The energy of formation from the pure elements is -0.150 eV/atom.

CIF file:
```
data_TbTm4Al4
_cell_length_a 8.918
_cell_length_b 8.918
_cell_length_c 5.573
_cell_angle_alpha 90.00
_cell_angle_beta 90.00
_cell_angle_gamma 90.00
_space_group_name_H-M_alt 'P 1'
_space_group_IT_number 1
_space_group_name_Hall 'P 1'
loop_
_atom_site_label
_atom_site_fract_x
_atom_site_fract_y
_atom_site_fract_z
_atom_site_occupancy
Tb1 0.250 0.250 0.250 1
Tb2 0.750 0.750 0.750 1
Tm1 0.090 0.826 0.658 1
Tm2 0.174 0.590 0.158 1
Tm3 0.326 0.910 0.158 1
Tm4 0.410 0.674 0.658 1
Tm5 0.590 0.326 0.342 1
Tm6 0.674 0.090 0.842 1
Tm7 0.826 0.410 0.842 1
Tm8 0.910 0.174 0.342 1
Al1 0.055 0.156 0.830 1
Al2 0.156 0.445 0.670 1
Al3 0.344 0.055 0.670 1
Al4 0.445 0.344 0.830 1
Al5 0.555 0.656 0.170 1
Al6 0.656 0.945 0.330 1
Al7 0.844 0.555 0.330 1
Al8 0.945 0.844 0.170 1
```



[4]
Below is a relaxed structure of CsFeGe2, with properties calculated at the PBE-GGA level.

Calculated values
The value obtained for the offset from the most stable computed form is 8.7 kJ/mol of atoms. The density is 5.5 Mg/m³. Its space-group type is No. 166. The energy of formation from the pure elements is 0.087 eV/atom.

CIF file:
```
data_CsFeGe2
_cell_length_a 7.446
_cell_length_b 7.446
_cell_length_c 7.446
_cell_angle_alpha 31.51
_cell_angle_beta 31.51
_cell_angle_gamma 31.51
_space_group_name_H-M_alt 'P 1'
_space_group_IT_number 1
_space_group_name_Hall 'P 1'
loop_
_atom_site_label
_atom_site_fract_x
_atom_site_fract_y
_atom_site_fract_z
_atom_site_occupancy
Cs1 0.000 0.000 0.000 1
Fe1 0.500 0.500 0.500 1
Ge1 0.199 0.199 0.199 1
Ge2 0.801 0.801 0.801 1
```



[5]
Below is a relaxed structure of Pm2Sm5Al4, with properties calculated at the PBE-GGA level.

Calculated values
The value obtained for the offset from the most stable computed form is 0.0 kJ/mol of atoms. The density is 6.4 Mg/m³. Its space-group type is No. 10. The energy of formation from the pure elements is -0.181 eV/atom.

CIF file:
```
data_Pm2Sm5Al4
_cell_length_a 8.545
_cell_length_b 3.384
_cell_length_c 10.450
_cell_angle_alpha 90.00
_cell_angle_beta 97.30
_cell_angle_gamma 90.00
_space_group_name_H-M_alt 'P 1'
_space_group_IT_number 1
_space_group_name_Hall 'P 1'
loop_
_atom_site_label
_atom_site_fract_x
_atom_site_fract_y
_atom_site_fract_z
_atom_site_occupancy
Pm1 0.085 0.000 0.141 1
Pm2 0.915 0.000 0.859 1
Sm1 0.152 0.000 0.640 1
Sm2 0.466 0.000 0.159 1
Sm3 0.500 0.000 0.500 1
Sm4 0.534 0.000 0.841 1
Sm5 0.848 0.000 0.360 1
Al1 0.199 0.500 0.385 1
Al2 0.246 0.500 0.922 1
Al3 0.754 0.500 0.078 1
Al4 0.801 0.500 0.615 1
```



[6]
Below is a relaxed structure of La3ScHg, with properties calculated at the PBE-GGA level.

Calculated values
The value obtained for the offset from the most stable computed form is 0.0 kJ/mol of atoms. The density is 5.3 Mg/m³. Its space-group type is No. 221. The energy of formation from the pure elements is 0.397 eV/atom.

CIF file:
```
data_La3ScHg
_cell_length_a 5.931
_cell_length_b 5.931
_cell_length_c 5.931
_cell_angle_alpha 90.00
_cell_angle_beta 90.00
_cell_angle_gamma 90.00
_space_group_name_H-M_alt 'P 1'
_space_group_IT_number 1
_space_group_name_Hall 'P 1'
loop_
_atom_site_label
_atom_site_fract_x
_atom_site_fract_y
_atom_site_fract_z
_atom_site_occupancy
La1 0.000 0.000 0.500 1
La2 0.000 0.500 0.000 1
La3 0.500 0.000 0.000 1
Sc1 0.500 0.500 0.500 1
Hg1 0.000 0.000 0.000 1
```